[1]
DFT (PBE) results for an optimized crystal structure of Sm5Y4Ho2.

The value obtained for the size of the total moment is 0.0 μB per cell. The value obtained for the volume is 362.3 Å³ per cell. As for the excess energy over the best structure of this formula in the dataset: 0.000 eV/atom. As for the space group: C2/m (12). The calculation puts the formation energy at 118.4 meV/atom.

Cell: 6.6586 6.6588 9.3569 Å, 75.33 75.33 66.39°
Closest atoms and distances in Å follow each position.
Element x y z (fractional)
Sm (0.6552, 0.2131, 0.7704)  2 Sm 3.16-3.22, 2 Ho 3.46-3.51, 3 Y 3.46-3.51
Sm (0.3448, 0.7869, 0.2296)  2 Sm 3.16-3.22, 2 Ho 3.46-3.51, 3 Y 3.46-3.51
Sm (0.0000, 0.0000, 0.5000)  4 Sm 3.15-3.16, 2 Y 3.41
Sm (0.2130, 0.6552, 0.7704)  2 Sm 3.15-3.22, 2 Ho 3.46-3.51, 3 Y 3.46-3.51
Sm (0.7870, 0.3448, 0.2296)  2 Sm 3.15-3.22, 2 Ho 3.46-3.51, 3 Y 3.46-3.51
Y (0.3055, 0.3055, 0.5025)  5 Sm 3.41-3.62, 1 Ho 3.46, 1 Y 3.50
Y (0.6945, 0.6945, 0.4975)  5 Sm 3.41-3.62, 1 Ho 3.46, 1 Y 3.50
Y (0.6665, 0.6666, 0.8808)  6 Sm 3.46-3.51, 3 Ho 3.47-3.65, 2 Y 3.50-3.71
Y (0.3335, 0.3334, 0.1192)  6 Sm 3.46-3.51, 3 Ho 3.47-3.65, 2 Y 3.50-3.71
Ho (0.1461, 0.1461, 0.8830)  1 Ho 3.33, 6 Sm 3.46-3.70, 4 Y 3.46-3.65
Ho (0.8539, 0.8539, 0.1170)  1 Ho 3.33, 6 Sm 3.46-3.70, 4 Y 3.46-3.65

=====

[2]
DFT (PBE) results for an optimized crystal structure of SmY6Ho8.

The value obtained for the size of the total moment is 0.0 μB per cell. The value obtained for the volume is 483.9 Å³ per cell. As for the space group: R-3 (148). The calculation puts the formation energy at 125.7 meV/atom.

Cell: 9.0355 9.0355 8.6053 Å, 58.33 58.33 60.00°
Closest atoms and distances in Å follow each position.
Element x y z (fractional)
Sm (0.0000, 0.0000, 0.0000)  6 Y 3.44, 6 Ho 3.52
Y (0.4609, 0.8913, 0.8775)  4 Ho 3.36-3.74, 1 Sm 3.44, 4 Y 3.47-3.73
Y (0.1087, 0.2297, 0.1225)  4 Ho 3.36-3.74, 1 Sm 3.44, 4 Y 3.47-3.73
Y (0.2297, 0.5391, 0.1225)  4 Ho 3.36-3.74, 1 Sm 3.44, 4 Y 3.47-3.73
Y (0.7703, 0.4609, 0.8775)  4 Ho 3.36-3.74, 1 Sm 3.44, 4 Y 3.47-3.73
Y (0.8913, 0.7703, 0.8775)  4 Ho 3.36-3.74, 1 Sm 3.44, 4 Y 3.47-3.73
Y (0.5391, 0.1087, 0.1225)  4 Ho 3.36-3.74, 1 Sm 3.44, 4 Y 3.47-3.73
Ho (0.2558, 0.2799, 0.5747)  3 Y 3.39-3.74, 5 Ho 3.40-3.42, 1 Sm 3.52
Ho (0.7201, 0.1104, 0.4253)  3 Y 3.39-3.74, 5 Ho 3.40-3.42, 1 Sm 3.52
Ho (0.1104, 0.7442, 0.4253)  3 Y 3.39-3.74, 5 Ho 3.40-3.42, 1 Sm 3.52
Ho (0.5761, 0.5761, 0.2717)  4 Ho 3.12-3.41, 3 Y 3.36
Ho (0.4239, 0.4239, 0.7283)  4 Ho 3.12-3.41, 3 Y 3.36
Ho (0.8896, 0.2558, 0.5747)  3 Y 3.39-3.74, 5 Ho 3.40-3.42, 1 Sm 3.52
Ho (0.2799, 0.8896, 0.5747)  3 Y 3.39-3.74, 5 Ho 3.40-3.42, 1 Sm 3.52
Ho (0.7442, 0.7201, 0.4253)  3 Y 3.39-3.74, 5 Ho 3.40-3.42, 1 Sm 3.52

=====

[3]
DFT (PBE) results for an optimized crystal structure of Sm2YHo12.

The value obtained for the size of the total moment is 0.0 μB per cell. The value obtained for the volume is 958.2 Å³ per cell. As for the space group: C2/m (12). The calculation puts the formation energy at 115.1 meV/atom.

Cell: 6.6070 6.6070 24.8433 Å, 83.42 96.58 64.75°
Closest atoms and distances in Å follow each position.
Element x y z (fractional)
Sm (0.4549, 0.0451, 0.2720)  2 Sm 3.53-3.55, 10 Ho 3.60-3.75
Sm (0.9561, 0.5439, 0.2720)  2 Sm 3.53-3.55, 10 Ho 3.60-3.75
Sm (0.0451, 0.4549, 0.7280)  2 Sm 3.53-3.55, 10 Ho 3.60-3.75
Sm (0.5439, 0.9561, 0.7280)  2 Sm 3.53-3.55, 10 Ho 3.60-3.75
Y (0.5005, 0.9995, 0.0006)  2 Ho 3.31, 2 Y 3.54
Y (0.9995, 0.5005, 0.9994)  2 Ho 3.31, 2 Y 3.54
Ho (0.5969, 0.4013, 0.7993)  5 Ho 3.16-3.54
Ho (0.0987, 0.9031, 0.7993)  5 Ho 3.16-3.54
Ho (0.8958, 0.6042, 0.8631)  4 Ho 3.20-3.54, 1 Y 3.31
Ho (0.4429, 0.5571, 0.9258)  9 Ho 3.54-3.64, 4 Y 3.75-3.77
Ho (0.9991, 0.0002, 0.3309)  5 Ho 3.16-3.54
Ho (0.0571, 0.9429, 0.0742)  9 Ho 3.54-3.64, 4 Y 3.75-3.77
Ho (0.6665, 0.3340, 0.5548)  10 Ho 3.19-3.54
Ho (0.4998, 0.5009, 0.3309)  5 Ho 3.16-3.54
Ho (0.3967, 0.1033, 0.8643)  4 Ho 3.20-3.54, 1 Y 3.31
Ho (0.6042, 0.8958, 0.1369)  4 Ho 3.20-3.54, 1 Y 3.31
Ho (0.1796, 0.3204, 0.5725)  8 Ho 3.33-3.65
Ho (0.8335, 0.1660, 0.4452)  10 Ho 3.19-3.54
Ho (0.0002, 0.9991, 0.6691)  5 Ho 3.16-3.54
Ho (0.3204, 0.1796, 0.4275)  8 Ho 3.33-3.65
Ho (0.1033, 0.3967, 0.1357)  4 Ho 3.20-3.54, 1 Y 3.31
Ho (0.8212, 0.6788, 0.4279)  8 Ho 3.33-3.65
Ho (0.6788, 0.8212, 0.5721)  8 Ho 3.33-3.65
Ho (0.9031, 0.0987, 0.2007)  5 Ho 3.16-3.54
Ho (0.1660, 0.8335, 0.5548)  10 Ho 3.19-3.54
Ho (0.5009, 0.4998, 0.6691)  5 Ho 3.16-3.54
Ho (0.9429, 0.0571, 0.9258)  9 Ho 3.54-3.64, 4 Y 3.75-3.77
Ho (0.4013, 0.5969, 0.2007)  5 Ho 3.16-3.54
Ho (0.3340, 0.6665, 0.4452)  10 Ho 3.19-3.54
Ho (0.5571, 0.4429, 0.0742)  9 Ho 3.54-3.64, 4 Y 3.75-3.77

=====

[4]
DFT (PBE) results for an optimized crystal structure of Sm2Y9Ho3.

The value obtained for the size of the total moment is 0.0 μB per cell. The value obtained for the volume is 450.1 Å³ per cell. As for the space group: Cm (8). The calculation puts the formation energy at 21.6 meV/atom.

Cell: 5.0425 12.8648 11.8376 Å, 54.22 50.27 54.01°
Closest atoms and distances in Å follow each position.
Element x y z (fractional)
Sm (0.3932, 0.1426, 0.9286)  8 Y 3.57-3.58, 3 Ho 3.57, 1 Sm 3.57
Sm (0.6092, 0.7856, 0.1416)  3 Ho 3.55-3.56, 8 Y 3.57-3.59, 1 Sm 3.57
Y (0.8905, 0.6429, 0.4301)  9 Y 3.56-3.59, 1 Ho 3.57, 2 Sm 3.58
Y (0.1096, 0.2848, 0.6421)  8 Y 3.56-3.59, 2 Ho 3.56-3.57, 2 Sm 3.57
Y (0.6777, 0.0007, 0.2142)  3 Ho 3.56-3.58, 5 Y 3.57-3.58, 4 Sm 3.57-3.58
Y (0.5371, 0.5715, 0.0705)  6 Y 3.56-3.59, 4 Ho 3.56-3.57, 2 Sm 3.57
Y (0.4619, 0.3581, 0.0005)  7 Y 3.56-3.59, 3 Ho 3.56-3.57, 2 Sm 3.58
Y (0.9623, 0.8573, 0.5012)  4 Ho 3.55-3.57, 7 Y 3.56-3.58, 1 Sm 3.59
Y (0.0364, 0.0709, 0.5715)  6 Y 3.56-3.57, 5 Ho 3.56-3.57, 1 Sm 3.57
Y (0.1778, 0.5005, 0.7143)  9 Y 3.56-3.58, 2 Ho 3.57, 1 Sm 3.58
Y (0.8222, 0.4278, 0.3573)  9 Y 3.56-3.58, 2 Ho 3.56-3.57, 1 Sm 3.58
Ho (0.3233, 0.9278, 0.8568)  6 Y 3.55-3.58, 2 Ho 3.55, 4 Sm 3.56-3.57
Ho (0.7508, 0.2143, 0.2851)  11 Y 3.56-3.57, 1 Sm 3.57
Ho (0.2481, 0.7151, 0.7862)  1 Sm 3.55, 2 Ho 3.55, 9 Y 3.56-3.57

=====

[5]
DFT (PBE) results for an optimized crystal structure of SmY6Ho12.

The value obtained for the size of the total moment is 0.0 μB per cell. The value obtained for the volume is 617.5 Å³ per cell. As for the excess energy over the best structure of this formula in the dataset: 0.000 eV/atom. As for the space group: R-3 (148). The calculation puts the formation energy at 161.5 meV/atom.

Cell: 8.5179 8.5179 8.5179 Å, 88.69 88.69 88.69°
Closest atoms and distances in Å follow each position.
Element x y z (fractional)
Sm (0.0000, 0.0000, 0.0000)  6 Y 3.50, 6 Ho 3.55
Y (0.7430, 0.9088, 0.3141)  6 Ho 3.26-3.60, 1 Sm 3.50, 2 Y 3.52
Y (0.6859, 0.2570, 0.0912)  6 Ho 3.26-3.60, 1 Sm 3.50, 2 Y 3.52
Y (0.0912, 0.6859, 0.2570)  6 Ho 3.26-3.60, 1 Sm 3.50, 2 Y 3.52
Y (0.2570, 0.0912, 0.6859)  6 Ho 3.26-3.60, 1 Sm 3.50, 2 Y 3.52
Y (0.3141, 0.7430, 0.9088)  6 Ho 3.26-3.60, 1 Sm 3.50, 2 Y 3.52
Y (0.9088, 0.3141, 0.7430)  6 Ho 3.26-3.60, 1 Sm 3.50, 2 Y 3.52
Ho (0.7718, 0.5442, 0.4356)  6 Ho 3.25-3.54, 3 Y 3.26-3.44
Ho (0.4356, 0.7718, 0.5442)  6 Ho 3.25-3.54, 3 Y 3.26-3.44
Ho (0.5442, 0.4356, 0.7718)  6 Ho 3.25-3.54, 3 Y 3.26-3.44
Ho (0.2282, 0.4558, 0.5644)  6 Ho 3.25-3.54, 3 Y 3.26-3.44
Ho (0.5644, 0.2282, 0.4558)  6 Ho 3.25-3.54, 3 Y 3.26-3.44
Ho (0.4558, 0.5644, 0.2282)  6 Ho 3.25-3.54, 3 Y 3.26-3.44
Ho (0.0100, 0.2138, 0.3531)  4 Ho 3.38-3.56, 4 Y 3.52-3.69, 1 Sm 3.55
Ho (0.7862, 0.6469, 0.9900)  4 Ho 3.38-3.56, 4 Y 3.52-3.69, 1 Sm 3.55
Ho (0.6469, 0.9900, 0.7862)  4 Ho 3.38-3.56, 4 Y 3.52-3.69, 1 Sm 3.55
Ho (0.9900, 0.7862, 0.6469)  4 Ho 3.38-3.56, 4 Y 3.52-3.69, 1 Sm 3.55
Ho (0.2138, 0.3531, 0.0100)  4 Ho 3.38-3.56, 4 Y 3.52-3.69, 1 Sm 3.55
Ho (0.3531, 0.0100, 0.2138)  4 Ho 3.38-3.56, 4 Y 3.52-3.69, 1 Sm 3.55

=====

[6]
DFT (PBE) results for an optimized crystal structure of Sm3Y4Ho8.

The value obtained for the size of the total moment is 0.0 μB per cell. The value obtained for the volume is 498.8 Å³ per cell. As for the space group: C2/m (12). The calculation puts the formation energy at 393.5 meV/atom.

Cell: 6.7566 9.2503 9.2503 Å, 87.41 111.37 111.37°
Closest atoms and distances in Å follow each position.
Element x y z (fractional)
Sm (0.5000, 0.5000, 0.0000)  4 Ho 3.21-3.34, 2 Y 3.38
Sm (0.5000, 0.0000, 0.5000)  4 Ho 3.21-3.34, 2 Y 3.38
Sm (0.5000, 0.5000, 0.5000)  6 Ho 3.14-3.21
Y (0.5000, 0.0000, 0.0000)  6 Ho 3.26-3.50, 2 Y 3.38
Y (0.0000, 0.5000, 0.0000)  4 Ho 3.20-3.35, 2 Sm 3.38
Y (0.0000, 0.0000, 0.0000)  2 Y 3.38, 4 Ho 3.54-3.60
Y (0.0000, 0.0000, 0.5000)  4 Ho 3.20-3.35, 2 Sm 3.38
Ho (0.5360, 0.2699, 0.2699)  3 Sm 3.21, 4 Ho 3.22-3.58, 1 Y 3.49
Ho (0.0000, 0.6406, 0.3594)  7 Ho 3.58-3.63, 2 Y 3.62, 4 Sm 3.63-3.83
Ho (0.0104, 0.2671, 0.2671)  4 Y 3.20-3.54, 1 Sm 3.20, 2 Ho 3.22-3.53
Ho (0.5000, 0.7453, 0.2547)  3 Sm 3.14-3.34, 3 Y 3.26-3.35
Ho (0.5000, 0.2547, 0.7453)  3 Sm 3.14-3.34, 3 Y 3.26-3.35
Ho (0.9896, 0.7329, 0.7329)  4 Y 3.20-3.54, 1 Sm 3.20, 2 Ho 3.22-3.53
Ho (0.0000, 0.3594, 0.6406)  7 Ho 3.58-3.63, 2 Y 3.62, 4 Sm 3.63-3.83
Ho (0.4640, 0.7301, 0.7301)  3 Sm 3.21, 4 Ho 3.22-3.58, 1 Y 3.49

=====

[7]
DFT (PBE) results for an optimized crystal structure of Sm12YHo3.

The value obtained for the size of the total moment is 0.0 μB per cell. The value obtained for the volume is 530.0 Å³ per cell. As for the space group: P4/mmm (123). The calculation puts the formation energy at 16.4 meV/atom.

Cell: 5.1009 5.1009 20.3688 Å, 90.00 90.00 90.00°
Closest atoms and distances in Å follow each position.
Element x y z (fractional)
Sm (0.5000, 0.5000, 0.0000)  4 Y 3.61, 8 Sm 3.61
Sm (0.5000, 0.5000, 0.2502)  8 Sm 3.60, 4 Ho 3.61
Sm (0.5000, 0.5000, 0.5000)  8 Sm 3.60, 4 Ho 3.61
Sm (0.5000, 0.5000, 0.7498)  8 Sm 3.60, 4 Ho 3.61
Sm (0.5000, 0.0000, 0.1256)  2 Ho 3.60, 8 Sm 3.60-3.61, 2 Y 3.61
Sm (0.5000, 0.0000, 0.3751)  8 Sm 3.60-3.61, 4 Ho 3.60
Sm (0.5000, 0.0000, 0.6249)  8 Sm 3.60-3.61, 4 Ho 3.60
Sm (0.5000, 0.0000, 0.8744)  2 Ho 3.60, 8 Sm 3.60-3.61, 2 Y 3.61
Sm (0.0000, 0.5000, 0.1256)  2 Ho 3.60, 8 Sm 3.60-3.61, 2 Y 3.61
Sm (0.0000, 0.5000, 0.3751)  8 Sm 3.60-3.61, 4 Ho 3.60
Sm (0.0000, 0.5000, 0.6249)  8 Sm 3.60-3.61, 4 Ho 3.60
Sm (0.0000, 0.5000, 0.8744)  2 Ho 3.60, 8 Sm 3.60-3.61, 2 Y 3.61
Y (0.0000, 0.0000, 0.0000)  12 Sm 3.61
Ho (0.0000, 0.0000, 0.2501)  12 Sm 3.60-3.61
Ho (0.0000, 0.0000, 0.5000)  12 Sm 3.60-3.61
Ho (0.0000, 0.0000, 0.7499)  12 Sm 3.60-3.61

=====

[8]
DFT (PBE) results for an optimized crystal structure of SmY3Ho3.

The value obtained for the size of the total moment is 0.0 μB per cell. The value obtained for the volume is 470.2 Å³ per cell. As for the excess energy over the best structure of this formula in the dataset: 0.000 eV/atom. As for the space group: R-3 (148). The calculation puts the formation energy at 140.0 meV/atom.

Cell: 6.1806 6.1806 14.6545 Å, 77.83 77.83 60.00°
Closest atoms and distances in Å follow each position.
Element x y z (fractional)
Sm (0.6667, 0.6667, 0.0000)  6 Y 3.54, 3 Sm 3.57
Sm (0.3333, 0.3333, 0.0000)  6 Y 3.54, 3 Sm 3.57
Y (0.9326, 0.2662, 0.2025)  3 Ho 3.48-3.49, 2 Sm 3.54, 6 Y 3.57
Y (0.5988, 0.9326, 0.2025)  3 Ho 3.48-3.49, 2 Sm 3.54, 6 Y 3.57
Y (0.2662, 0.5988, 0.2025)  3 Ho 3.48-3.49, 2 Sm 3.54, 6 Y 3.57
Y (0.7338, 0.4012, 0.7975)  3 Ho 3.48-3.49, 2 Sm 3.54, 6 Y 3.57
Y (0.4012, 0.0674, 0.7975)  3 Ho 3.48-3.49, 2 Sm 3.54, 6 Y 3.57
Y (0.0674, 0.7338, 0.7975)  3 Ho 3.48-3.49, 2 Sm 3.54, 6 Y 3.57
Ho (0.1983, 0.8664, 0.4004)  3 Y 3.48-3.49, 9 Ho 3.50-3.58
Ho (0.5349, 0.1983, 0.4004)  3 Y 3.48-3.49, 9 Ho 3.50-3.58
Ho (0.8664, 0.5349, 0.4004)  3 Y 3.48-3.49, 9 Ho 3.50-3.58
Ho (0.1336, 0.4651, 0.5996)  3 Y 3.48-3.49, 9 Ho 3.50-3.58
Ho (0.4651, 0.8017, 0.5996)  3 Y 3.48-3.49, 9 Ho 3.50-3.58
Ho (0.8017, 0.1336, 0.5996)  3 Y 3.48-3.49, 9 Ho 3.50-3.58

=====

[9]
DFT (PBE) results for an optimized crystal structure of SmY2Ho.

The value obtained for the size of the total moment is 0.0 μB per cell. The value obtained for the volume is 128.9 Å³ per cell. As for the excess energy over the best structure of this formula in the dataset: 0.011 eV/atom. As for the space group: R-3m (166). The calculation puts the formation energy at 20.7 meV/atom.

Cell: 3.5757 3.5757 11.8210 Å, 81.30 81.30 60.00°
Closest atoms and distances in Å follow each position.
Element x y z (fractional)
Y (0.7491, 0.7491, 0.7526)  3 Ho 3.54, 6 Y 3.58, 3 Sm 3.59
Y (0.2509, 0.2509, 0.2474)  3 Ho 3.54, 6 Y 3.58, 3 Sm 3.59
Ho (0.0000, 0.0000, 0.0000)  6 Y 3.54, 6 Ho 3.58
Sm (0.5000, 0.5000, 0.5000)  6 Sm 3.58, 6 Y 3.59

=====

[10]
DFT (PBE) results for an optimized crystal structure of Sm5Y3Ho2.

The value obtained for the size of the total moment is 0.0 μB per cell. The value obtained for the volume is 671.5 Å³ per cell. As for the space group: C2/c (15). The calculation puts the formation energy at 192.9 meV/atom.

Cell: 9.9388 9.9154 11.2358 Å, 128.80 128.84 65.22°
Closest atoms and distances in Å follow each position.
Element x y z (fractional)
Sm (0.2725, 0.5225, 0.0451)  3 Sm 3.15-3.45, 4 Y 3.38-3.46, 2 Ho 3.43
Sm (0.7275, 0.4775, 0.9549)  3 Sm 3.15-3.45, 4 Y 3.38-3.46, 2 Ho 3.43
Sm (0.0241, 0.7741, 0.5483)  3 Y 3.04-3.37
Sm (0.5176, 0.2676, 0.5352)  3 Sm 3.15-3.46, 4 Ho 3.34-3.48, 2 Y 3.47
Sm (0.9759, 0.2259, 0.4517)  3 Y 3.04-3.37
Sm (0.4824, 0.7324, 0.4648)  3 Sm 3.15-3.46, 4 Ho 3.34-3.48, 2 Y 3.47
Sm (0.8897, 0.6394, 0.7555)  3 Sm 3.45-3.52, 3 Y 3.46-3.77, 2 Ho 3.61-3.80
Sm (0.1103, 0.3606, 0.2445)  3 Sm 3.45-3.52, 3 Y 3.46-3.77, 2 Ho 3.61-3.80
Sm (0.3658, 0.1162, 0.7555)  3 Sm 3.45-3.52, 3 Y 3.46-3.77, 2 Ho 3.61-3.80
Sm (0.6342, 0.8838, 0.2445)  3 Sm 3.45-3.52, 3 Y 3.46-3.77, 2 Ho 3.61-3.80
Y (0.2270, 0.9770, 0.9540)  1 Sm 3.04, 2 Ho 3.37
Y (0.7730, 0.0230, 0.0460)  1 Sm 3.04, 2 Ho 3.37
Y (0.7188, 0.4814, 0.2529)  1 Ho 3.28, 6 Sm 3.37-3.61, 1 Y 3.55
Y (0.2812, 0.5186, 0.7471)  1 Ho 3.28, 6 Sm 3.37-3.61, 1 Y 3.55
Y (0.0341, 0.7715, 0.2529)  1 Ho 3.28, 6 Sm 3.37-3.61, 1 Y 3.55
Y (0.9659, 0.2285, 0.7471)  1 Ho 3.28, 6 Sm 3.37-3.61, 1 Y 3.55
Ho (0.7728, 0.0348, 0.7525)  3 Y 3.28-3.53, 5 Sm 3.34-3.61
Ho (0.2272, 0.9652, 0.2475)  3 Y 3.28-3.53, 5 Sm 3.34-3.61
Ho (0.4797, 0.7177, 0.7525)  3 Y 3.28-3.53, 5 Sm 3.34-3.61
Ho (0.5203, 0.2823, 0.2475)  3 Y 3.28-3.53, 5 Sm 3.34-3.61